! LiCaEuZn (GGA-PBE, relaxed); values from VASP
&SYSTEM
  ibrav = 0, nat = 4, ntyp = 4
/
ATOMIC_SPECIES
Eu 151.96 Eu.upf
Zn 65.41 Zn.upf
Ca 40.08 Ca.upf
Li 6.94 Li.upf
CELL_PARAMETERS angstrom
-0.289 -3.536 -4.056
4.499 -1.633 -2.477
1.777 -5.040 0.688
ATOMIC_POSITIONS crystal
Eu 0.750 0.750 0.750
Zn 0.000 0.000 0.000
Ca 0.250 0.250 0.250
Li 0.500 0.500 0.500
! * calculated density: 4.0 Mg/m³
! * energy of formation from the pure elements: -0.1042 eV per atom
! * energy: -3.970 eV/atom